(1)
Material: CsPrZnTe3
Method: DFT, GGA-PBE
State: optimized geometry

Output
Uncorrected formation energy in eV/atom: -1.111

The structure in CIF format:
```
data_CsPrZnTe3
_chemical_formula_sum 'Cs4 Pr4 Zn4 Te12'
_symmetry_space_group_name_H-M 'C m c m'
_symmetry_Int_Tables_number 63
_symmetry_space_group_name_Hall '-C 2c 2'
_cell_length_a 4.546
_cell_length_b 17.303
_cell_length_c 12.115
_cell_angle_alpha 90.00
_cell_angle_beta 90.00
_cell_angle_gamma 90.00
loop_
_atom_site_label
_atom_site_type_symbol
_atom_site_fract_x
_atom_site_fract_y
_atom_site_fract_z
Cs1 Cs 0.000 0.246 0.250
Pr1 Pr 0.000 0.500 0.000
Zn1 Zn 0.000 0.036 0.750
Te1 Te 0.000 0.122 0.567
Te2 Te 0.000 0.440 0.750
```



(2)
Material: CsPrZnTe3
Method: DFT, GGA-PBE
State: optimized geometry

Output
Uncorrected formation energy in eV/atom: -1.092

The structure in CIF format:
```
data_CsPrZnTe3
_chemical_formula_sum 'Cs2 Pr2 Zn2 Te6'
_symmetry_space_group_name_H-M 'P 1 21/m 1'
_symmetry_Int_Tables_number 11
_symmetry_space_group_name_Hall '-P 2yb'
_cell_length_a 10.493
_cell_length_b 4.552
_cell_length_c 10.992
_cell_angle_alpha 90.00
_cell_angle_beta 110.53
_cell_angle_gamma 90.00
loop_
_atom_site_label
_atom_site_type_symbol
_atom_site_fract_x
_atom_site_fract_y
_atom_site_fract_z
Cs1 Cs 0.216 0.250 0.247
Pr1 Pr 0.326 0.750 0.862
Zn1 Zn 0.084 0.250 0.612
Te1 Te 0.109 0.250 0.860
Te2 Te 0.189 0.750 0.538
Te3 Te 0.473 0.750 0.167
```